[1]
VASP calculation (PBE-GGA) on an optimized crystal structure of MgCdO2.

```
MgCdO2
1.0
-0.4449 3.2979 -3.0353
-5.3799 -2.7274 -2.1749
-1.6717 1.6621 2.0509
O Cd Mg
4 2 2
Direct
0.0000 0.5981 0.2502
0.5000 0.8446 0.7497
0.5000 0.4019 0.7502
0.0000 0.1554 0.2497
0.0000 0.8690 0.7499
0.5000 0.1310 0.2499
0.0000 0.3848 0.7501
0.5000 0.6152 0.2501
```

Values from the calculation:
Total DFT energy (no corrections) = -39.2 eV/cell

[2]
VASP calculation (PBE-GGA) on an optimized crystal structure of Si64Pt.

```
Si64Pt
1.0
-5.9252 2.8372 -8.7660
-9.1334 -3.1820 5.1436
-1.2141 10.0908 4.0867
Si Pt
64 1
Direct
0.6250 0.3750 0.6250
0.3760 0.8756 0.3760
0.7499 0.7499 0.2501
0.5000 0.5000 0.2502
0.5000 0.7498 0.5000
0.0000 0.7503 0.5000
0.0000 0.2497 0.5000
0.7487 0.0000 0.0000
0.2542 0.7458 0.2542
0.5000 0.0000 0.7503
0.8747 0.8747 0.3748
0.6240 0.3760 0.1244
0.8747 0.1253 0.6252
0.7503 0.5000 0.0000
0.2501 0.2501 0.2501
0.8747 0.3748 0.8747
0.6240 0.1244 0.3760
0.2501 0.7499 0.7499
0.6250 0.6250 0.3750
0.6240 0.6240 0.8756
0.6252 0.8747 0.1253
0.5000 0.7503 0.0000
0.7498 0.5000 0.5000
0.5000 0.0000 0.2497
0.5000 0.5000 0.7498
0.8689 0.1311 0.1311
0.3748 0.8747 0.8747
0.8747 0.6252 0.1253
0.7458 0.7458 0.7458
0.8756 0.6240 0.6240
0.7499 0.2501 0.7499
0.1253 0.8747 0.6252
0.0000 0.5000 0.2497
0.1311 0.8689 0.1311
0.3760 0.1244 0.6240
0.6240 0.8756 0.6240
0.2497 0.5000 0.0000
0.0000 0.5000 0.7503
0.1244 0.6240 0.3760
0.1311 0.1311 0.8689
0.7503 0.0000 0.5000
0.5000 0.2497 0.0000
0.3760 0.3760 0.8756
0.8689 0.8689 0.8689
0.1253 0.3748 0.1253
0.6252 0.1253 0.8747
0.5000 0.2502 0.5000
0.1244 0.3760 0.6240
0.0000 0.0000 0.2513
0.3760 0.6240 0.1244
0.2497 0.0000 0.5000
0.3748 0.1253 0.1253
0.0000 0.7487 0.0000
0.3750 0.6250 0.6250
0.0000 0.0000 0.7487
0.2502 0.5000 0.5000
0.1253 0.1253 0.3748
0.3750 0.3750 0.3750
0.7458 0.2542 0.2542
0.1253 0.6252 0.8747
0.2542 0.2542 0.7458
0.0000 0.2513 0.0000
0.8756 0.3760 0.3760
0.2513 0.0000 0.0000
0.0000 0.0000 0.0000
```

Values from the calculation:
Total magnetization = 0.002 μB/f.u.
Total DFT energy (no corrections) = -352.0 eV/cell

[3]
VASP calculation (PBE-GGA) on an optimized crystal structure of NiW4SN2.

```
NiW4SN2
1.0
-0.6891 -2.2703 -1.5993
2.2673 -0.1121 1.7417
-8.0716 -4.7366 10.2020
W Ni S N
4 1 1 2
Direct
0.6667 0.3333 0.1524
0.6667 0.3333 0.8476
0.0000 0.0000 0.6379
0.0000 0.0000 0.3621
0.0000 0.0000 0.0000
0.6667 0.3333 0.5000
0.3333 0.6667 0.7439
0.3333 0.6667 0.2561
```

Values from the calculation:
Total magnetization = 0.004 μB/f.u.
Total DFT energy (no corrections) = -76.5 eV/cell